A.
The following is a DFT calculation (GGA-PBE) of KSc3Cl after structural relaxation.

The total magnetization comes out at 1.36 μB/cell.

The structure belongs to space group Pm-3m (No. 221); the cell edges are 5.134, 5.134 and 5.134 Å and the angles 90.00°, 90.00° and 90.00°. Symmetry generates all atoms from K at (0.000, 0.000, 0.000), Sc at (0.000, 0.500, 0.500) and Cl at (0.500, 0.500, 0.500).

=====

B.
The following is a DFT calculation (GGA-PBE) of KSc3Cl after structural relaxation.

The total magnetization comes out at 0.00 μB/cell.

The structure belongs to space group Pm-3m (No. 221); the cell edges are 5.340, 5.340 and 5.340 Å and the angles 90.00°, 90.00° and 90.00°. Symmetry generates all atoms from K at (0.000, 0.000, 0.000), Sc at (0.000, 0.000, 0.500) and Cl at (0.500, 0.500, 0.500).

=====

Short version: B is the least stable of them.

=====

A.
The following is a DFT calculation (GGA-PBE) of KScCl4 after structural relaxation.

The total magnetization comes out at 0.00 μB/cell.

The structure belongs to space group C2/c (No. 15); the cell edges are 9.501, 14.903 and 6.373 Å and the angles 90.00°, 124.10° and 90.00°. Symmetry generates all atoms from K at (0.000, 0.164, 0.250), Sc at (0.000, 0.424, 0.750), Cl at (0.163, 0.311, 0.706) and Cl at (0.189, 0.453, 0.220).

=====

B.
The following is a DFT calculation (GGA-PBE) of KScCl4 after structural relaxation.

The total magnetization comes out at 0.00 μB/cell.

The structure belongs to space group C2/m (No. 12); the cell edges are 12.683, 3.883 and 7.896 Å and the angles 90.00°, 106.88° and 90.00°. Symmetry generates all atoms from K at (0.000, 0.000, 0.000), Sc at (0.000, 0.500, 0.500), Cl at (0.113, 0.000, 0.426) and Cl at (0.117, 0.500, 0.807).

=====

Short version: B is the least stable of them.

=====

A.
The following is a DFT calculation (GGA-PBE) of KSeCl after structural relaxation.

The total magnetization comes out at 8.00 μB/cell.

The structure belongs to space group F-43m (No. 216); the cell edges are 7.502, 7.502 and 7.502 Å and the angles 90.00°, 90.00° and 90.00°. Symmetry generates all atoms from K at (0.000, 0.000, 0.000), Se at (0.000, 0.000, 0.500) and Cl at (0.250, 0.250, 0.750).

=====

B.
The following is a DFT calculation (GGA-PBE) of KSeCl after structural relaxation.

The total magnetization comes out at 0.00 μB/cell.

The structure belongs to space group I4mm (No. 107); the cell edges are 4.654, 4.654 and 10.896 Å and the angles 90.00°, 90.00° and 90.00°. Symmetry generates all atoms from K at (0.000, 0.000, 0.000), Se at (0.000, 0.000, 0.445) and Cl at (0.000, 0.000, 0.652).

=====

C.
The following is a DFT calculation (GGA-PBE) of KSeCl after structural relaxation.

The total magnetization comes out at 8.00 μB/cell.

The structure belongs to space group F-43m (No. 216); the cell edges are 7.570, 7.570 and 7.570 Å and the angles 90.00°, 90.00° and 90.00°. Symmetry generates all atoms from K at (0.000, 0.000, 0.000), Se at (0.250, 0.250, 0.250) and Cl at (0.250, 0.250, 0.750).

=====

Short version: C is the least stable of them.

=====

A.
The following is a DFT calculation (GGA-PBE) of KSeCl4 after structural relaxation.

The total magnetization comes out at 0.00 μB/cell.

The structure belongs to space group P2_1/m (No. 11); the cell edges are 5.627, 10.715 and 7.020 Å and the angles 90.00°, 90.01° and 90.00°. Symmetry generates all atoms from K at (0.250, 0.250, 0.120), Se at (0.250, 0.750, 0.335), Cl at (0.249, 0.581, 0.131), Cl at (0.250, 0.250, 0.657) and Cl at (0.250, 0.750, 0.681).

=====

B.
The following is a DFT calculation (GGA-PBE) of KSeCl4 after structural relaxation.

The total magnetization comes out at 4.01 μB/cell.

The structure belongs to space group C2/c (No. 15); the cell edges are 8.268, 7.397 and 13.837 Å and the angles 90.00°, 103.98° and 90.00°. Symmetry generates all atoms from K at (0.250, 0.250, 0.000), Se at (0.000, 0.247, 0.250), Cl at (0.045, 0.475, 0.137) and Cl at (0.047, 0.019, 0.138).

=====

C.
The following is a DFT calculation (GGA-PBE) of KSeCl4 after structural relaxation.

The total magnetization comes out at 20.25 μB/cell.

The structure belongs to space group F-43m (No. 216); the cell edges are 8.789, 8.789 and 8.789 Å and the angles 90.00°, 90.00° and 90.00°. Symmetry generates all atoms from K at (0.000, 0.000, 0.000), Se at (0.250, 0.250, 0.750) and Cl at (0.125, 0.125, 0.375).

=====

Short version: C is the least stable of them.